Entry 1:
The following is a PBE calculation of a relaxed structure of PmAg3Au8, from the Alexandria database. Values from VASP.

Quantum ESPRESSO input file:
```
&SYSTEM
  ibrav = 0, nat = 12, ntyp = 3
/
ATOMIC_SPECIES
Pm 145.00 Pm.upf
Ag 107.87 Ag.upf
Au 196.97 Au.upf
CELL_PARAMETERS angstrom
2.7521 1.5889 9.1669
-2.7521 1.5889 9.1669
0.0000 -3.1778 9.1669
ATOMIC_POSITIONS crystal
Pm 0.0000 0.0000 0.0000
Ag 0.1286 0.1286 0.1286
Ag 0.5006 0.5006 0.5006
Ag 0.6178 0.6178 0.6178
Au 0.0637 0.0637 0.5629
Au 0.0637 0.5629 0.0637
Au 0.0649 0.5651 0.5651
Au 0.3139 0.3139 0.3139
Au 0.5629 0.0637 0.0637
Au 0.5651 0.0649 0.5651
Au 0.5651 0.5651 0.0649
Au 0.8142 0.8142 0.8142
```



Entry 2:
The following is a PBE calculation of a relaxed structure of Cr2ReTc, from the Alexandria database. Values from VASP.

Quantum ESPRESSO input file:
```
&SYSTEM
  ibrav = 0, nat = 4, ntyp = 3
/
ATOMIC_SPECIES
Cr 52.00 Cr.upf
Re 186.21 Re.upf
Tc 98.00 Tc.upf
CELL_PARAMETERS angstrom
2.9914 0.0000 0.0000
0.0000 4.1667 0.0000
0.0000 0.0000 4.3095
ATOMIC_POSITIONS crystal
Cr 0.0000 0.0000 0.0000
Cr 0.5000 0.0000 0.5000
Re 0.0000 0.5000 0.5000
Tc 0.5000 0.5000 0.0000
```



Entry 3:
The following is a PBE calculation of a relaxed structure of Pr2Be3Si4Au, from the Alexandria database. Values from VASP.

Quantum ESPRESSO input file:
```
&SYSTEM
  ibrav = 0, nat = 10, ntyp = 4
/
ATOMIC_SPECIES
Pr 140.91 Pr.upf
Be 9.01 Be.upf
Si 28.09 Si.upf
Au 196.97 Au.upf
CELL_PARAMETERS angstrom
4.0837 0.0000 0.0000
0.0000 4.0837 0.0000
0.0000 0.0000 9.9536
ATOMIC_POSITIONS crystal
Pr 0.0000 0.5000 0.2402
Pr 0.5000 0.0000 0.7598
Be 0.0000 0.5000 0.8776
Be 0.5000 0.0000 0.1224
Be 0.5000 0.5000 0.5000
Si 0.0000 0.0000 0.0000
Si 0.0000 0.5000 0.6459
Si 0.5000 0.0000 0.3541
Si 0.5000 0.5000 0.0000
Au 0.0000 0.0000 0.5000
```



Energy for the records above, in order: -41.7 -41.6 -49.7 eV per cell
Density for the records above, in order: 14.11 12.00 6.18 g cm⁻³